Record 1
Below is Ga3TcAg at its PBEsol-relaxed geometry, with properties calculated at the meta-GGA SCAN level.

The structure belongs to space group Pm-3m (No. 221); the cell edges are 4.7480, 4.7480 and 4.7480 Å and the angles 90.00°, 90.00° and 90.00°. The asymmetric unit holds Ga at (0.0000, 0.0000, 0.5000), Tc at (0.5000, 0.5000, 0.5000) and Ag at (0.0000, 0.0000, 0.0000).

***

Record 2
Below is Ti2GaAgTe at its PBEsol-relaxed geometry, with properties calculated at the meta-GGA SCAN level.

The structure belongs to space group P4/mmm (No. 123); the cell edges are 4.9774, 4.9774 and 4.9738 Å and the angles 90.00°, 90.00° and 90.00°. The asymmetric unit holds Ti at (0.0000, 0.5000, 0.0000), Ga at (0.0000, 0.0000, 0.5000), Ag at (0.5000, 0.5000, 0.5000) and Te at (0.5000, 0.5000, 0.0000).

The formation energy from raw total energies comes out at 3.82 eV/f.u.

***

Record 3
Below is TlGa2Ag2 at its PBEsol-relaxed geometry, with properties calculated at the meta-GGA SCAN level.

The structure belongs to space group P4/mbm (No. 127); the cell edges are 8.0467, 8.0467 and 2.9463 Å and the angles 90.00°, 90.00° and 90.00°. The asymmetric unit holds Tl at (0.0000, 0.0000, 0.0000), Ga at (0.1697, 0.3303, 0.5000) and Ag at (0.1269, 0.6269, 0.0000).

***

Record 4
Below is TlGa2Ag2 at its PBEsol-relaxed geometry, with properties calculated at the meta-GGA SCAN level.

The structure belongs to space group I4/mmm (No. 139); the cell edges are 3.8691, 3.8691 and 13.0437 Å and the angles 90.00°, 90.00° and 90.00°. The asymmetric unit holds Tl at (0.0000, 0.0000, 0.0000), Ga at (0.0000, 0.5000, 0.2500) and Ag at (0.0000, 0.0000, 0.3934).

***

Record 5
Below is Y2Ga2Ag at its PBEsol-relaxed geometry, with properties calculated at the meta-GGA SCAN level.

The structure belongs to space group P4/mbm (No. 127); the cell edges are 6.9550, 6.9550 and 4.3700 Å and the angles 90.00°, 90.00° and 90.00°. The asymmetric unit holds Y at (0.1706, 0.3294, 0.0000), Ga at (0.1318, 0.6318, 0.5000) and Ag at (0.0000, 0.0000, 0.5000).

***

Record 6
Below is Zn2GaAg2 at its PBEsol-relaxed geometry, with properties calculated at the meta-GGA SCAN level.

The structure belongs to space group P4/mbm (No. 127); the cell edges are 7.7093, 7.7093 and 2.7766 Å and the angles 90.00°, 90.00° and 90.00°. The asymmetric unit holds Zn at (0.1691, 0.3309, 0.0000), Ga at (0.0000, 0.0000, 0.5000) and Ag at (0.1297, 0.6297, 0.5000).

***

Record 7
Below is Zn2GaAg2 at its PBEsol-relaxed geometry, with properties calculated at the meta-GGA SCAN level.

The structure belongs to space group I4/mmm (No. 139); the cell edges are 3.5116, 3.5116 and 13.5586 Å and the angles 90.00°, 90.00° and 90.00°. The asymmetric unit holds Zn at (0.0000, 0.5000, 0.2500), Ga at (0.0000, 0.0000, 0.0000) and Ag at (0.0000, 0.0000, 0.3990).

***

Record 8
Below is Zr2Ga2Ag at its PBEsol-relaxed geometry, with properties calculated at the meta-GGA SCAN level.

The structure belongs to space group P4/mbm (No. 127); the cell edges are 6.6500, 6.6500 and 4.0854 Å and the angles 90.00°, 90.00° and 90.00°. The asymmetric unit holds Zr at (0.1679, 0.3321, 0.0000), Ga at (0.1334, 0.6334, 0.5000) and Ag at (0.0000, 0.0000, 0.5000).

***

Record 9
Below is GdAgGe at its PBEsol-relaxed geometry, with properties calculated at the meta-GGA SCAN level.

The structure belongs to space group P-62m (No. 189); the cell edges are 7.0768, 7.0768 and 4.2071 Å and the angles 90.00°, 90.00° and 120.00°. The asymmetric unit holds Gd at (0.0000, 0.5825, 0.0000), Ag at (0.0000, 0.2486, 0.5000), Ge at (0.0000, 0.0000, 0.0000) and Ge at (0.3333, 0.6667, 0.5000).

***

Record 10
Below is Gd2AgHg at its PBEsol-relaxed geometry, with properties calculated at the meta-GGA SCAN level.

The structure belongs to space group Fm-3m (No. 225); the cell edges are 7.2833, 7.2833 and 7.2833 Å and the angles 90.00°, 90.00° and 90.00°. The asymmetric unit holds Gd at (0.2500, 0.2500, 0.2500), Ag at (0.0000, 0.0000, 0.0000) and Hg at (0.0000, 0.0000, 0.5000).

***

Record 11
Below is GdLuAg2 at its PBEsol-relaxed geometry, with properties calculated at the meta-GGA SCAN level.

The structure belongs to space group Fm-3m (No. 225); the cell edges are 7.1012, 7.1012 and 7.1012 Å and the angles 90.00°, 90.00° and 90.00°. The asymmetric unit holds Gd at (0.0000, 0.0000, 0.0000), Lu at (0.0000, 0.0000, 0.5000) and Ag at (0.2500, 0.2500, 0.2500).

***

Record 12
Below is GdMgAg2 at its PBEsol-relaxed geometry, with properties calculated at the meta-GGA SCAN level.

The structure belongs to space group Fm-3m (No. 225); the cell edges are 6.9379, 6.9379 and 6.9379 Å and the angles 90.00°, 90.00° and 90.00°. The asymmetric unit holds Gd at (0.0000, 0.0000, 0.0000), Mg at (0.0000, 0.0000, 0.5000) and Ag at (0.2500, 0.2500, 0.2500).

***

Record 13
Below is GdAgSe2 at its PBEsol-relaxed geometry, with properties calculated at the meta-GGA SCAN level.

The structure belongs to space group P-3m1 (No. 164); the cell edges are 4.0396, 4.0396 and 6.5556 Å and the angles 90.00°, 90.00° and 120.00°. The asymmetric unit holds Gd at (0.0000, 0.0000, 0.0000), Ag at (0.0000, 0.0000, 0.5000) and Se at (0.3333, 0.6667, 0.2549).

The formation energy from raw total energies comes out at -5.20 eV/f.u.

***

Record 14
Below is SmGdAg2 at its PBEsol-relaxed geometry, with properties calculated at the meta-GGA SCAN level.

The structure belongs to space group Fm-3m (No. 225); the cell edges are 7.2320, 7.2320 and 7.2320 Å and the angles 90.00°, 90.00° and 90.00°. The asymmetric unit holds Sm at (0.0000, 0.0000, 0.0000), Gd at (0.0000, 0.0000, 0.5000) and Ag at (0.2500, 0.2500, 0.2500).

***

Record 15
Below is GdAgSn2 at its PBEsol-relaxed geometry, with properties calculated at the meta-GGA SCAN level.

The structure belongs to space group P4/mmm (No. 123); the cell edges are 4.5781, 4.5781 and 4.3248 Å and the angles 90.00°, 90.00° and 90.00°. The asymmetric unit holds Gd at (0.0000, 0.0000, 0.0000), Ag at (0.5000, 0.5000, 0.0000) and Sn at (0.0000, 0.5000, 0.5000).

***

Record 16
Below is Gd2TlAg at its PBEsol-relaxed geometry, with properties calculated at the meta-GGA SCAN level.

The structure belongs to space group Fm-3m (No. 225); the cell edges are 7.3716, 7.3716 and 7.3716 Å and the angles 90.00°, 90.00° and 90.00°. The asymmetric unit holds Gd at (0.2500, 0.2500, 0.2500), Tl at (0.0000, 0.0000, 0.0000) and Ag at (0.0000, 0.0000, 0.5000).

***

Record 17
Below is Ag3Ge at its PBEsol-relaxed geometry, with properties calculated at the meta-GGA SCAN level.

The structure belongs to space group P-6m2 (No. 187); the cell edges are 2.9011, 2.9011 and 9.2595 Å and the angles 90.00°, 90.00° and 120.00°. The asymmetric unit holds Ag at (0.0000, 0.0000, 0.0000), Ag at (0.6667, 0.3333, 0.2507) and Ge at (0.0000, 0.0000, 0.5000).

***

Record 18
Below is Ag3Ge at its PBEsol-relaxed geometry, with properties calculated at the meta-GGA SCAN level.

The structure belongs to space group Fm-3m (No. 225); the cell edges are 6.4583, 6.4583 and 6.4583 Å and the angles 90.00°, 90.00° and 90.00°. The asymmetric unit holds Ag at (0.0000, 0.0000, 0.0000), Ag at (0.2500, 0.2500, 0.2500) and Ge at (0.0000, 0.0000, 0.5000).

***

Record 19
Below is Ag3Ge at its PBEsol-relaxed geometry, with properties calculated at the meta-GGA SCAN level.

The structure belongs to space group Pm-3m (No. 221); the cell edges are 4.0579, 4.0579 and 4.0579 Å and the angles 90.00°, 90.00° and 90.00°. The asymmetric unit holds Ag at (0.0000, 0.0000, 0.5000) and Ge at (0.5000, 0.5000, 0.5000).

***

Record 20
Below is AgGeH3 at its PBEsol-relaxed geometry, with properties calculated at the meta-GGA SCAN level.

The structure belongs to space group Pm-3m (No. 221); the cell edges are 3.7103, 3.7103 and 3.7103 Å and the angles 90.00°, 90.00° and 90.00°. The asymmetric unit holds Ag at (0.0000, 0.0000, 0.0000), Ge at (0.5000, 0.5000, 0.5000) and H at (0.0000, 0.0000, 0.5000).

***

Record 21
Below is AgGeH2 at its PBEsol-relaxed geometry, with properties calculated at the meta-GGA SCAN level.

The structure belongs to space group Fm-3m (No. 225); the cell edges are 5.5784, 5.5784 and 5.5784 Å and the angles 90.00°, 90.00° and 90.00°. The asymmetric unit holds Ag at (0.0000, 0.0000, 0.0000), Ge at (0.0000, 0.0000, 0.5000) and H at (0.2500, 0.2500, 0.2500).

***

Record 22
Below is Ag2Ge2H at its PBEsol-relaxed geometry, with properties calculated at the meta-GGA SCAN level.

The structure belongs to space group I4/mmm (No. 139); the cell edges are 3.5371, 3.5371 and 13.9365 Å and the angles 90.00°, 90.00° and 90.00°. The asymmetric unit holds Ag at (0.0000, 0.0000, 0.0932), Ge at (0.0000, 0.5000, 0.2500) and H at (0.0000, 0.0000, 0.5000).

***

Record 23
Below is HfZnAg2Ge at its PBEsol-relaxed geometry, with properties calculated at the meta-GGA SCAN level.

The structure belongs to space group P4/mmm (No. 123); the cell edges are 4.5751, 4.5751 and 5.0046 Å and the angles 90.00°, 90.00° and 90.00°. The asymmetric unit holds Hf at (0.0000, 0.0000, 0.0000), Zn at (0.0000, 0.0000, 0.5000), Ag at (0.0000, 0.5000, 0.5000) and Ge at (0.5000, 0.5000, 0.0000).

***

Record 24
Below is AgHgGe3 at its PBEsol-relaxed geometry, with properties calculated at the meta-GGA SCAN level.

The structure belongs to space group Pm-3m (No. 221); the cell edges are 4.9396, 4.9396 and 4.9396 Å and the angles 90.00°, 90.00° and 90.00°. The asymmetric unit holds Ag at (0.0000, 0.0000, 0.0000), Hg at (0.5000, 0.5000, 0.5000) and Ge at (0.0000, 0.0000, 0.5000).

***

Record 25
Below is KAgHgGe2 at its PBEsol-relaxed geometry, with properties calculated at the meta-GGA SCAN level.

The structure belongs to space group P4/mmm (No. 123); the cell edges are 5.4769, 5.4769 and 5.2131 Å and the angles 90.00°, 90.00° and 90.00°. The asymmetric unit holds K at (0.0000, 0.0000, 0.0000), Ag at (0.0000, 0.0000, 0.5000), Hg at (0.5000, 0.5000, 0.5000) and Ge at (0.0000, 0.5000, 0.0000).

***

Record 26
Below is Ho6AgGe2S14 at its PBEsol-relaxed geometry, with properties calculated at the meta-GGA SCAN level.

The structure belongs to space group P3 (No. 143); the cell edges are 9.7000, 9.7000 and 5.6279 Å and the angles 90.00°, 90.00° and 120.00°. The asymmetric unit holds Ho at (0.0227, 0.4638, 0.0000), Ho at (0.3107, 0.2017, 0.5008), Ag at (0.6667, 0.3333, 0.7712), Ge at (0.0000, 0.0000, 0.9182), Ge at (0.3333, 0.6667, 0.4236), S at (0.0000, 0.0000, 0.3053), S at (0.0883, 0.2384, 0.7538), S at (0.1826, 0.7544, 0.2582), S at (0.3333, 0.6667, 0.8103), S at (0.4050, 0.2368, 0.0212) and S at (0.5042, 0.0706, 0.5278).

The formation energy from raw total energies comes out at -37.02 eV/f.u.

***

no.,E_tot (eV/atom)
1,-22.01
2,-22.64
3,-33.43
4,-33.46
5,-24.61
6,-21.14
7,-21.10
8,-25.66
9,-37.11
10,-54.76
11,-44.56
12,-31.93
13,-33.89
14,-40.76
15,-40.96
16,-55.78
17,-28.19
18,-28.18
19,-28.19
20,-11.44
21,-13.50
22,-20.17
23,-30.96
24,-30.63
25,-27.67
26,-23.27